No. 1
VASP calculation (PBE) on crystalline HfPaZn17 at its relaxed geometry.

a b c (Å): 6.7293 6.7293 6.7293
angles (deg): 82.91 82.91 82.91
With the nearest neighbours (Å) after each atom.
Atoms (fractional coordinates):
Zn 0.1736 0.6396 0.6396  8 Zn 2.52-2.77
Zn 0.2971 0.6976 0.0039  8 Zn 2.55-2.77
Zn 0.6976 0.2971 0.0039  8 Zn 2.55-2.77
Zn 0.5082 0.9901 0.9901  10 Zn 2.55-2.77
Zn 0.9041 0.9041 0.9041  4 Zn 2.63-2.66
Zn 0.1061 0.1061 0.1061  7 Zn 2.63-2.78
Zn 0.6976 0.0039 0.2971  8 Zn 2.55-2.77
Zn 0.3520 0.3520 0.8506  9 Zn 2.52-2.78
Zn 0.9901 0.9901 0.5082  10 Zn 2.55-2.77
Zn 0.6396 0.6396 0.1736  8 Zn 2.52-2.77
Zn 0.9901 0.5082 0.9901  10 Zn 2.55-2.77
Zn 0.8506 0.3520 0.3520  9 Zn 2.52-2.78
Zn 0.3520 0.8506 0.3520  9 Zn 2.52-2.78
Zn 0.0039 0.6976 0.2971  8 Zn 2.55-2.77
Zn 0.2971 0.0039 0.6976  8 Zn 2.55-2.77
Zn 0.0039 0.2971 0.6976  8 Zn 2.55-2.77
Zn 0.6396 0.1736 0.6396  8 Zn 2.52-2.77
Hf 0.3342 0.3342 0.3342  13 Zn 2.97-3.23
Pa 0.6627 0.6627 0.6627  19 Zn 3.14-3.41

Values from the calculation:
Magnetization ... 0.819 μB per cell
ΔH_f (0 K) ... -0.085 eV per atom
V ... 15.70 Å³/atom
Fermi-level density of states ... 9.886 states/eV/cell
SG ... No. 160

No. 2
VASP calculation (PBE) on crystalline Hf2PaZn at its relaxed geometry.

a b c (Å): 3.1557 3.1557 8.5630
angles (deg): 90.00 90.00 90.00
With the nearest neighbours (Å) after each atom.
Atoms (fractional coordinates):
Hf 0.0000 0.0000 0.7822  4 Zn 2.91, 4 Hf 3.16
Hf 0.0000 0.0000 0.2178  4 Zn 2.91, 4 Hf 3.16
Pa 0.5000 0.5000 0.5000  4 Pa 3.16, 8 Hf 3.29
Zn 0.5000 0.5000 0.0000  8 Hf 2.91, 4 Zn 3.16

Values from the calculation:
Magnetization ... 0.000 μB per cell
ΔH_f (0 K) ... -0.029 eV per atom
V ... 21.32 Å³/atom
Fermi-level density of states ... 6.352 states/eV/cell
SG ... No. 123

No. 3
VASP calculation (PBE) on crystalline HfPa2Zn at its relaxed geometry.

a b c (Å): 3.0990 3.0990 11.7303
angles (deg): 82.41 82.41 60.00
With the nearest neighbours (Å) after each atom.
Atoms (fractional coordinates):
Hf 0.5000 0.5000 0.5000  6 Hf 3.10, 6 Pa 3.27
Pa 0.9121 0.9121 0.2638  1 Zn 3.06, 6 Pa 3.10, 3 Hf 3.27
Pa 0.0879 0.0879 0.7362  1 Zn 3.06, 6 Pa 3.10, 3 Hf 3.27
Zn 0.0000 0.0000 0.0000  2 Pa 3.06, 6 Zn 3.10

Values from the calculation:
Magnetization ... 0.000 μB per cell
ΔH_f (0 K) ... 0.286 eV per atom
V ... 24.11 Å³/atom
Fermi-level density of states ... 6.575 states/eV/cell
SG ... No. 166